Computed, not measured: AlCu5 after structural relaxation at the PBE level of DFT.

Cell: 2.983 2.983 8.324 Å, 90.00 90.00 90.00°
Fractional positions:
Cu: 0.500 0.500 0.337
Cu: 0.000 0.000 0.171
Cu: 0.000 0.000 0.829
Cu: 0.000 0.000 0.500
Cu: 0.500 0.500 0.663
Al: 0.500 0.500 0.000

Density, g cm⁻³: 7.727
Calculated volume, Å³/atom: 12.35
Energy relative to the elements, eV/atom: -0.081